[1]
An optimized crystal structure of Nd6Zn5Cd, computed with GGA-PBE.

a b c (Å): 5.242 7.450 8.308
angles (deg): 90.00 71.45 90.00
Positions (direct):
Zn (0.666, 0.500, 0.669)
Zn (0.000, 0.500, 0.000)
Zn (0.336, 0.000, 0.329)
Zn (0.334, 0.500, 0.331)
Zn (0.664, 0.000, 0.671)
Nd (0.170, 0.744, 0.660)
Nd (0.500, 0.260, 0.000)
Nd (0.500, 0.740, 0.000)
Nd (0.170, 0.256, 0.660)
Nd (0.830, 0.256, 0.340)
Nd (0.830, 0.744, 0.340)
Cd (0.000, 0.000, 0.000)

Output
The calculated total energy comes out at -3.2949 eV per atom. The symmetry is P2/m. As for the magnetization: 0.00 Bohr magnetons per cell.

[2]
An optimized crystal structure of CsZrCl5, computed with GGA-PBE.

a b c (Å): 7.891 7.891 10.386
angles (deg): 70.82 70.82 58.44
Positions (direct):
Cl (0.996, 0.004, 0.750)
Cl (0.639, 0.091, 0.069)
Cl (0.909, 0.361, 0.431)
Cl (0.004, 0.996, 0.250)
Cl (0.361, 0.909, 0.931)
Cl (0.091, 0.639, 0.569)
Cl (0.904, 0.362, 0.935)
Cl (0.096, 0.638, 0.065)
Cl (0.362, 0.904, 0.435)
Cl (0.638, 0.096, 0.565)
Cs (0.500, 0.500, 0.750)
Cs (0.500, 0.500, 0.250)
Zr (0.000, 0.000, 0.500)
Zr (0.000, 0.000, 0.000)

Output
The calculated total energy comes out at -4.5278 eV per atom. The symmetry is C2/c. As for the magnetization: 0.00 Bohr magnetons per cell.

[3]
An optimized crystal structure of Ac2PuBi2N2, computed with GGA-PBE.

a b c (Å): 4.505 6.670 7.496
angles (deg): 64.52 72.51 70.26
Site moments in Bohr magnetons follow the coordinates.
Positions (direct):
Ac (0.793, 0.658, 0.757)  -0.02
Ac (0.207, 0.342, 0.243)  -0.02
Bi (0.457, 0.754, 0.332)  -0.03
Bi (0.543, 0.246, 0.668)  -0.03
N (0.174, 0.726, 0.925)  -0.14
N (0.826, 0.274, 0.075)  -0.14
Pu (0.000, 0.000, 0.000)  3.74

Output
The calculated total energy comes out at -7.7473 eV per atom. The symmetry is C2/m. As for the magnetization: 3.39 Bohr magnetons per cell.

[4]
An optimized crystal structure of La2PuAlOs2, computed with GGA-PBE.

a b c (Å): 6.163 6.307 8.535
angles (deg): 111.68 111.16 90.00
Site moments in Bohr magnetons follow the coordinates.
Positions (direct):
Os (0.148, 0.893, 0.785)  -0.21
Os (0.637, 0.393, 0.785)  -0.21
Os (0.852, 0.107, 0.215)  -0.21
Os (0.363, 0.607, 0.215)  -0.21
La (0.886, 0.674, 0.348)  0.11
La (0.538, 0.826, 0.652)  0.11
La (0.462, 0.174, 0.348)  0.11
La (0.114, 0.326, 0.652)  0.11
Al (0.500, 0.750, 0.000)  0.01
Al (0.500, 0.250, 0.000)  0.01
Pu (0.000, 0.750, 0.000)  4.78
Pu (0.000, 0.250, 0.000)  4.78

Output
The calculated total energy comes out at -8.5819 eV per atom. The symmetry is Ibam. As for the magnetization: 10.04 Bohr magnetons per cell.

Repeat the first record exactly.
An optimized crystal structure of Nd6Zn5Cd, computed with GGA-PBE.

a b c (Å): 5.242 7.450 8.308
angles (deg): 90.00 71.45 90.00
Positions (direct):
Zn (0.666, 0.500, 0.669)
Zn (0.000, 0.500, 0.000)
Zn (0.336, 0.000, 0.329)
Zn (0.334, 0.500, 0.331)
Zn (0.664, 0.000, 0.671)
Nd (0.170, 0.744, 0.660)
Nd (0.500, 0.260, 0.000)
Nd (0.500, 0.740, 0.000)
Nd (0.170, 0.256, 0.660)
Nd (0.830, 0.256, 0.340)
Nd (0.830, 0.744, 0.340)
Cd (0.000, 0.000, 0.000)

Output
The calculated total energy comes out at -3.2949 eV per atom. The symmetry is P2/m. As for the magnetization: 0.00 Bohr magnetons per cell.

Which of these has the highest magnetization?
La2PuAlOs2